(1)
DFT (PBE) results for a relaxed structure of BTeW.

a = 4.306 Å, b = 4.306 Å, c = 4.306 Å
α = 60.00°, β = 60.00°, γ = 60.00°
Sites, in units of the cell vectors:
B1 0.000 0.000 0.000
Te1 0.500 0.500 0.500
W1 0.250 0.250 0.250

Output
**Energy above the most stable polymorph in this dataset**: 0.33 eV/f.u.
**Total magnetic moment**: 0.83 μB per formula unit
**Total DFT energy (no corrections)**: -6.111 eV/atom


(2)
DFT (PBE) results for a relaxed structure of B2Te2W.

a = 4.786 Å, b = 4.786 Å, c = 4.786 Å
α = 114.82°, β = 114.82°, γ = 99.24°
Sites, in units of the cell vectors:
B1 0.132 0.132 0.000
B2 0.868 0.868 0.000
Te1 0.250 0.750 0.500
Te2 0.750 0.250 0.500
W1 0.500 0.500 0.000

Output
**Energy above the most stable polymorph in this dataset**: 0.00 eV/f.u.
**Total magnetic moment**: 0.00 μB per formula unit
**Total DFT energy (no corrections)**: -5.534 eV/atom


(3)
DFT (PBE) results for a relaxed structure of B2Te2W.

a = 8.589 Å, b = 8.589 Å, c = 8.589 Å
α = 158.86°, β = 158.86°, γ = 30.07°
Sites, in units of the cell vectors:
B1 0.250 0.750 0.500
B2 0.750 0.250 0.500
Te1 0.106 0.106 0.000
Te2 0.894 0.894 0.000
W1 0.500 0.500 0.000

Output
**Energy above the most stable polymorph in this dataset**: 1.36 eV/f.u.
**Total magnetic moment**: 0.01 μB per formula unit
**Total DFT energy (no corrections)**: -5.261 eV/atom


(4)
DFT (PBE) results for a relaxed structure of ZnBTe.

a = 4.511 Å, b = 4.511 Å, c = 4.511 Å
α = 60.00°, β = 60.00°, γ = 60.00°
Sites, in units of the cell vectors:
Zn1 0.000 0.000 0.000
B1 0.500 0.500 0.500
Te1 0.750 0.750 0.750

Output
**Total DFT energy (no corrections)**: -2.470 eV/atom


(5)
DFT (PBE) results for a relaxed structure of ZnBTe2.

a = 4.977 Å, b = 4.977 Å, c = 4.977 Å
α = 60.00°, β = 60.00°, γ = 60.00°
Sites, in units of the cell vectors:
Zn1 0.000 0.000 0.000
B1 0.750 0.750 0.750
Te1 0.250 0.250 0.250
Te2 0.500 0.500 0.500

Output
**Total DFT energy (no corrections)**: -2.385 eV/atom


(6)
DFT (PBE) results for a relaxed structure of ZrBTe.

a = 4.337 Å, b = 4.337 Å, c = 4.337 Å
α = 60.00°, β = 60.00°, γ = 60.00°
Sites, in units of the cell vectors:
Zr1 0.000 0.000 0.000
B1 0.750 0.750 0.750
Te1 0.500 0.500 0.500

Output
**Energy above the most stable polymorph in this dataset**: 0.00 eV/f.u.
**Total magnetic moment**: 0.04 μB per formula unit
**Total DFT energy (no corrections)**: -5.566 eV/atom